# PBE-GGA K2CaAg2, relaxed
data_K2CaAg2
_symmetry_space_group_name_H-M 'P 4/m b m'
_symmetry_Int_Tables_number 127
_symmetry_space_group_name_Hall '-P 4 2ab'
_cell_length_a 9.4919
_cell_length_b 9.4919
_cell_length_c 3.7557
_cell_angle_alpha 90.00
_cell_angle_beta 90.00
_cell_angle_gamma 90.00
loop_
_atom_site_label
_atom_site_type_symbol
_atom_site_fract_x
_atom_site_fract_y
_atom_site_fract_z
K1 K 0.1241 0.3759 0.0000
Ca1 Ca 0.0000 0.0000 0.0000
Ag1 Ag 0.1795 0.6795 0.5000
# Theoretical density, g/cm³: 3.28
# V, Å³/atom: 33.84
# Size of the total moment, Bohr magnetons per cell: 0.0
# E_form, meV/atom: 163
# Energy above the most stable polymorph in this dataset, eV per atom: 0.131